An optimized crystal structure of ScZn4Pt5. Source: Alexandria via LeMat-Bulk, functional PBE.

The structure belongs to space group P4/mmm (No. 123); the cell edges are 2.941, 2.941 and 17.522 Å and the angles 90.00°, 90.00° and 90.00°. The asymmetric unit holds Sc at (0.000, 0.000, 0.000), Zn at (0.000, 0.000, 0.210), Zn at (0.000, 0.000, 0.403), Pt at (0.500, 0.500, 0.110), Pt at (0.500, 0.500, 0.305) and Pt at (0.500, 0.500, 0.500).

The value obtained for the theoretical density is 14046 kg/m3. The value obtained for the magnetization is 0.0 μB/cell. The calculation puts the formation energy at -0.69 eV/atom.

---

An optimized crystal structure of CdMoCl6. Source: Alexandria via LeMat-Bulk, functional PBE.

The structure belongs to space group R-3 (No. 148, hexagonal axes); the cell edges are 6.3470, 6.3470 and 17.1918 Å and the angles 90.00°, 90.00° and 120.00°. The asymmetric unit holds Cd at (0.0000, 0.0000, 0.0000), Mo at (0.0000, 0.0000, 0.5000) and Cl at (0.0077, 0.6937, 0.4205).

The value obtained for the theoretical density is 3497 kg/m3. As for the formation energy from raw total energies: -865 meV per atom. The value obtained for the magnetization is 6.0 μB/cell.

---

An optimized crystal structure of SmGdCd4. Source: Alexandria via LeMat-Bulk, functional PBE.

The structure belongs to space group F-43m (No. 216); the cell edges are 8.419, 8.419 and 8.419 Å and the angles 90.00°, 90.00° and 90.00°. The asymmetric unit holds Sm at (0.000, 0.000, 0.000), Gd at (0.250, 0.250, 0.250) and Cd at (0.125, 0.125, 0.625).

The value obtained for the theoretical density is 8429 kg/m3. The value obtained for the magnetization is 30.1 μB/cell. The calculation puts the formation energy at -0.29 eV/atom.

---

An optimized crystal structure of SrTlIn2Rh. Source: Alexandria via LeMat-Bulk, functional PBE.

The structure belongs to space group P4/mmm (No. 123); the cell edges are 5.181, 5.181 and 5.295 Å and the angles 90.00°, 90.00° and 90.00°. The asymmetric unit holds Sr at (0.000, 0.000, 0.000), Tl at (0.500, 0.500, 0.000), In at (0.000, 0.500, 0.500) and Rh at (0.500, 0.500, 0.500).

The value obtained for the theoretical density is 7296 kg/m3. The value obtained for the magnetization is 0.0 μB/cell. The value obtained for the relative energy among the computed polymorphs is 0.003 eV/atom. The calculation puts the formation energy at -0.25 eV/atom.

---

An optimized crystal structure of TaMnP2. Source: Alexandria via LeMat-Bulk, functional PBE.

The structure belongs to space group Cm (No. 8); the cell edges are 8.337, 3.090 and 4.327 Å and the angles 90.00°, 105.74° and 90.00°. The asymmetric unit holds Ta at (0.000, 0.000, 0.000), Mn at (0.229, 0.000, 0.610), P at (0.003, 0.500, 0.500) and P at (0.245, 0.500, 0.184).

The value obtained for the theoretical density is 9218 kg/m3. The value obtained for the magnetization is 0.0 μB/cell. The value obtained for the relative energy among the computed polymorphs is 0.219 eV/atom. The calculation puts the formation energy at -0.40 eV/atom.

---

An optimized crystal structure of Na2HgTeF. Source: Alexandria via LeMat-Bulk, functional PBE.

The structure belongs to space group P4/mmm (No. 123); the cell edges are 4.588, 4.588 and 5.465 Å and the angles 90.00°, 90.00° and 90.00°. The asymmetric unit holds Na at (0.000, 0.500, 0.000), Hg at (0.000, 0.000, 0.500), Te at (0.500, 0.500, 0.500) and F at (0.000, 0.000, 0.000).

The value obtained for the theoretical density is 5676 kg/m3. As for the formation energy from raw total energies: -1224 meV per atom. The value obtained for the magnetization is 0.0 μB/cell.

---

Number 1: total energy -4.85 eV/atom. Number 2: total energy -3.72 eV/atom. Number 3: total energy -4.03 eV/atom. Number 4: total energy -3.62 eV/atom. Number 5: total energy -8.36 eV/atom. Number 6: total energy -2.81 eV/atom.